1.
Dy2Zn2Cd3: optimized geometry, PBE.

a b c (Å): 3.456 4.425 10.556
angles (deg): 102.10 90.00 90.00
Last column: magnetic moment on the atom in μB.
Fractional positions:
Dy: 0.000 0.163 0.327  0.10
Cd: 0.000 0.000 0.000  0.00
Zn: 0.500 0.283 0.566  0.01
Cd: 0.500 0.425 0.850  0.00
Cd: 0.500 0.575 0.150  0.00
Dy: 0.000 0.837 0.673  0.10
Zn: 0.500 0.717 0.434  0.01

Energy relative to the elements ... -0.242 eV/atom
Energy ... -2.314 eV/atom
N(E_F) ... 0.849 states/eV/atom
E above lowest polymorph ... 0.042 eV per atom

2.
Pm2PaPd: optimized geometry, PBE.

a b c (Å): 3.549 3.549 8.239
angles (deg): 90.00 90.00 90.00
Fractional positions:
Pa: 0.500 0.500 0.500
Pd: 0.500 0.500 0.000
Pm: 0.000 0.000 0.780
Pm: 0.000 0.000 0.220

Energy relative to the elements ... -0.211 eV/atom
Energy ... -6.259 eV/atom
N(E_F) ... 1.378 states/eV/atom
E above lowest polymorph ... 0.000 eV per atom

3.
Dy4TeC: optimized geometry, PBE.

a b c (Å): 6.343 7.291 8.210
angles (deg): 110.21 105.85 104.78
Fractional positions:
Dy: 0.818 0.653 0.597
Dy: 0.182 0.347 0.403
Dy: 0.279 0.944 0.597
C: 0.184 0.934 0.868
C: 0.816 0.066 0.132
Dy: 0.439 0.740 0.897
Dy: 0.042 0.844 0.103
Dy: 0.561 0.260 0.103
Te: 0.355 0.605 0.209
Dy: 0.958 0.156 0.897
Dy: 0.721 0.056 0.403
Te: 0.645 0.395 0.791

Energy ... -5.642 eV/atom
Raw formation energy ... -0.51 eV/atom
N(E_F) ... 1.147 states/eV/atom
E above lowest polymorph ... 0.000 eV per atom

4.
Tm4ScAgS8: optimized geometry, PBE.

a b c (Å): 7.903 7.903 7.822
angles (deg): 59.66 59.66 60.00
Fractional positions:
Tm: 0.004 0.004 0.504
S: 0.236 0.236 0.751
Ag: 0.377 0.377 0.868
S: 0.764 0.221 0.251
S: 0.242 0.242 0.273
S: 0.236 0.777 0.751
S: 0.764 0.764 0.251
Tm: 0.004 0.488 0.504
Tm: 0.488 0.004 0.504
S: 0.221 0.764 0.251
Sc: 0.006 0.006 0.981
S: 0.777 0.236 0.751
Tm: 0.623 0.623 0.131
S: 0.758 0.758 0.727

Energy ... -6.094 eV/atom
Raw formation energy ... -1.80 eV/atom
N(E_F) ... 0.000 states/eV/atom

5.
Ce2CrCo3As4: optimized geometry, PBE.

a b c (Å): 4.152 4.152 9.573
angles (deg): 90.00 90.00 90.00
Last column: magnetic moment on the atom in μB.
Fractional positions:
Co: 0.000 0.500 0.113  -0.10
As: 0.000 0.000 0.000  0.00
Co: 0.500 0.000 0.887  -0.10
As: 0.000 0.500 0.359  -0.05
Co: 0.000 0.000 0.500  -0.51
Ce: 0.000 0.500 0.758  0.29
As: 0.500 0.500 0.000  0.00
Cr: 0.500 0.500 0.500  2.44
Ce: 0.500 0.000 0.242  0.29
As: 0.500 0.000 0.641  -0.05

Energy relative to the elements ... -0.726 eV/atom
Energy ... -6.867 eV/atom
N(E_F) ... 0.702 states/eV/atom

6.
LiCe2SbN4: optimized geometry, PBE.

a b c (Å): 3.604 6.123 5.829
angles (deg): 108.79 90.00 90.00
Last column: magnetic moment on the atom in μB.
Fractional positions:
N: 0.000 0.770 0.289  -0.01
Sb: 0.000 0.000 0.000  0.00
Li: 0.500 0.500 0.000  0.00
N: 0.000 0.230 0.711  -0.01
Ce: 0.500 0.000 0.500  0.02
N: 0.500 0.261 0.271  -0.01
Ce: 0.000 0.500 0.500  0.13
N: 0.500 0.739 0.729  -0.01

Energy ... -7.065 eV/atom
Raw formation energy ... -0.66 eV/atom

One value per record, in order, for mass density: 8.34; 10.04; 8.30; 5.24; 8.14; 6.34 g cm⁻³.